w.
Computed, not measured: crystalline Li2CoMo at its relaxed geometry at the PBE level of DFT.

Cell: 9.361 9.361 9.361 Å, 16.62 16.62 16.62°
Sites, in units of the cell vectors:
Co1 0.753 0.753 0.753
Mo1 0.490 0.490 0.490
Li1 0.009 0.009 0.009
Li2 0.248 0.248 0.248

Summary:
Space-group type: R3m


x.
Computed, not measured: crystalline Li2CoMo at its relaxed geometry at the PBE level of DFT.

Cell: 4.698 2.535 4.509 Å, 85.81 90.00 90.00°
Each line ends with the local moment (μB).
Sites, in units of the cell vectors:
Li1 0.000 0.561 0.507  -0.01
Li2 0.000 0.939 0.993  -0.01
Mo1 0.500 0.250 0.250  -0.04
Co1 0.500 0.750 0.750  0.68

Summary:
Space-group type: P2/m


w ends up most stable, edging out the next structure by 6.0 kJ/mol of atoms.


w.
Computed, not measured: crystalline Li2CoMo at its relaxed geometry at the PBE level of DFT.

Cell: 9.460 9.460 9.460 Å, 15.85 15.85 15.85°
Each line ends with the local moment (μB).
Sites, in units of the cell vectors:
Mo1 0.250 0.250 0.250  0.21
Li1 0.494 0.494 0.494  -0.04
Li2 0.006 0.006 0.006  -0.04
Co1 0.750 0.750 0.750  1.47

Summary:
Space-group type: R-3m


x.
Computed, not measured: crystalline Li2CoMo at its relaxed geometry at the PBE level of DFT.

Cell: 2.596 2.596 9.132 Å, 90.00 90.00 108.57°
Each line ends with the local moment (μB).
Sites, in units of the cell vectors:
Mo1 0.000 0.000 0.522  0.00
Li1 0.000 0.000 0.973  -0.02
Li2 0.500 0.500 0.259  0.01
Co1 0.500 0.500 0.746  1.39

Summary:
Space-group type: Cmm2


x ends up most stable, edging out the next structure by 10.5 kJ/mol of atoms.


w.
Computed, not measured: crystalline Li2CoMo at its relaxed geometry at the PBE level of DFT.

Cell: 4.044 2.539 5.464 Å, 79.70 90.00 90.00°
Each line ends with the local moment (μB).
Sites, in units of the cell vectors:
Co1 0.500 0.858 0.715  0.77
Li1 0.000 0.913 0.014  0.00
Li2 0.500 0.230 0.220  -0.01
Mo1 0.000 0.499 0.550  -0.01

Summary:
Space-group type: Pm


x.
Computed, not measured: crystalline Li2CoMo at its relaxed geometry at the PBE level of DFT.

Cell: 2.505 2.505 8.812 Å, 90.00 90.00 90.00°
Each line ends with the local moment (μB).
Sites, in units of the cell vectors:
Co1 0.500 0.500 0.750  1.66
Mo1 0.500 0.500 0.250  0.00
Li1 0.000 0.000 0.979  -0.04
Li2 0.000 0.000 0.521  -0.04

Summary:
Space-group type: P4/mmm


w ends up most stable, edging out the next structure by 8.3 kJ/mol of atoms.